(1)
The following is a DFT calculation (PBE-GGA) of NbSbTeI2 after structural relaxation.

a b c (Å): 5.830 5.830 5.975
angles (deg): 90.00 90.00 90.00
Space group P4/mmm (No. 123)
Symmetry-distinct sites (fractional):
Nb 0.000 0.000 0.000 [1 per cell]
Sb 0.500 0.500 0.500 [1 per cell]
Te 0.500 0.500 0.000 [1 per cell]
I 0.000 0.500 0.500 [2 per cell]

Results
Theoretical density ... 4.9 g/cm3
Energy relative to the elements, uncorrected ... 980.3 meV/atom
VASP energy ... -3.11 eV per atom
Energy above the lowest structure with this stoichiometry ... 0.645 eV/atom

(2)
The following is a DFT calculation (PBE-GGA) of Ca3YSc after structural relaxation.

a b c (Å): 5.764 5.764 5.764
angles (deg): 90.00 90.00 90.00
Space group Pm-3m (No. 221)
Symmetry-distinct sites (fractional):
Ca 0.000 0.000 0.500 [3 per cell]
Y 0.500 0.500 0.500 [1 per cell]
Sc 0.000 0.000 0.000 [1 per cell]

Results
Theoretical density ... 2.2 g/cm3
VASP energy ... -3.03 eV per atom
E_form ... 3.66 eV/f.u.
Energy above the lowest structure with this stoichiometry ... 0.000 eV/atom

(3)
The following is a DFT calculation (PBE-GGA) of K2AlInO4 after structural relaxation.

a b c (Å): 5.421 12.227 20.460
angles (deg): 90.00 90.00 90.00
Space group Fddd (No. 70, origin choice 2)
Symmetry-distinct sites (fractional):
K 0.125 0.125 0.311 [16 per cell]
Al 0.125 0.125 0.625 [8 per cell]
In 0.125 0.125 0.125 [8 per cell]
O 0.090 0.285 0.834 [32 per cell]

Results
Theoretical density ... 2.8 g/cm3
Energy relative to the elements, uncorrected ... -1766.4 meV/atom
VASP energy ... -5.33 eV per atom

(4)
The following is a DFT calculation (PBE-GGA) of LaHo2Cd2In2 after structural relaxation.

a b c (Å): 4.9958 4.9958 26.8898
angles (deg): 90.00 90.00 120.00
Space group R-3m (No. 166, hexagonal axes)
Symmetry-distinct sites (fractional):
La 0.0000 0.0000 0.0000 [3 per cell]
Ho 0.0000 0.0000 0.1324 [6 per cell]
Cd 0.0000 0.0000 0.4228 [6 per cell]
In 0.0000 0.0000 0.2611 [6 per cell]

Results
Theoretical density ... 7.9 g/cm3
VASP energy ... -3.34 eV per atom
E_form ... -2.01 eV/f.u.

(5)
The following is a DFT calculation (PBE-GGA) of K7Rb12Pb after structural relaxation.

a b c (Å): 25.9894 25.9894 8.3625
angles (deg): 90.00 90.00 120.00
Space group R-3m (No. 166, hexagonal axes)
Symmetry-distinct sites (fractional):
K 0.0000 0.0000 0.0000 [3 per cell]
K 0.0732 0.1463 0.3305 [18 per cell]
Rb 0.0000 0.4111 0.0000 [18 per cell]
Rb 0.1024 0.5512 0.5038 [18 per cell]
Pb 0.0000 0.0000 0.5000 [3 per cell]

Results
Theoretical density ... 1.5 g/cm3
VASP energy ... -1.13 eV per atom
E_form ... 0.31 eV/f.u.

(6)
The following is a DFT calculation (PBE-GGA) of BaZnRu2 after structural relaxation.

a b c (Å): 4.709 4.709 7.216
angles (deg): 90.00 90.00 90.00
Space group I-4m2 (No. 119)
Symmetry-distinct sites (fractional):
Ba 0.000 0.000 0.000 [2 per cell]
Zn 0.000 0.500 0.250 [2 per cell]
Ru 0.000 0.000 0.500 [2 per cell]
Ru 0.000 0.500 0.750 [2 per cell]

Results
Theoretical density ... 8.4 g/cm3
VASP energy ... -4.58 eV per atom
E_form ... 3.42 eV/f.u.